Computed, not measured: a geometry-optimized ZrInSe3 structure at the PBEsol level of DFT.

abc: 5.069 5.069 5.069
angles: 90.00 90.00 90.00
Element x y z (fractional)
Zr 0.000 0.000 0.000
In 0.500 0.500 0.500
Se 0.000 0.500 0.500
Se 0.500 0.000 0.500
Se 0.500 0.500 0.000

=====

Computed, not measured: a geometry-optimized Zr2InSe structure at the PBEsol level of DFT.

abc: 3.229 3.229 7.625
angles: 90.00 90.00 90.00
Element x y z (fractional)
Zr 0.000 0.000 0.217
Zr 0.000 0.000 0.783
In 0.500 0.500 0.500
Se 0.500 0.500 0.000

Values from the calculation:
Offset from the most stable computed form = 0.000 eV per atom

=====

Energy relative to the elements, uncorrected values, unit eV/atom, following the record order: 0.28, -0.78.